1.
VASP calculation (PBE) on a relaxed NdEu2Sc crystal.

* total moment: 14.3 μB/f.u.
* energy relative to the lowest polymorph listed for this composition: 44 meV/atom
* crystal system: cubic

```
4
Lattice="-2.597 0.845 -5.098 2.898 -0.950 -4.914 -1.366 -4.524 -3.335" Properties=species:S:1:pos:R:3 pbc="T T T"
Eu -0.266 -1.157 -3.337
Eu -0.799 -3.472 -10.011
Sc 0.000 0.000 0.000
Nd -0.532 -2.315 -6.674
```

***

2.
VASP calculation (PBE) on a relaxed NaLa2TlTe4 crystal.

* total moment: 0.0 μB/f.u.
* formation energy without anion corrections: -1.273 eV per atom
* crystal system: monoclinic

```
8
Lattice="4.663 0.000 0.000 0.000 8.320 -0.226 0.000 2.838 7.567" Properties=species:S:1:pos:R:3 pbc="T T T"
Na 0.000 5.579 3.671
La 0.000 2.838 7.567
La 2.332 1.419 3.784
Tl 2.332 4.160 -0.113
Te 0.000 8.529 5.430
Te 4.663 2.629 1.911
Te 2.332 7.096 1.692
Te 2.332 4.062 5.649
```

***

3.
VASP calculation (PBE) on a relaxed CaCr2W crystal.

* total moment: 3.6 μB/f.u.
* energy relative to the lowest polymorph listed for this composition: 302 meV/atom
* crystal system: tetragonal

```
4
Lattice="4.576 0.000 0.000 0.000 4.576 0.000 0.000 0.000 3.165" Properties=species:S:1:pos:R:3 pbc="T T T"
Cr 0.000 0.000 0.000
Cr 2.288 2.288 0.000
Ca 0.000 2.288 1.582
W 2.288 0.000 1.582
```